## LiY2Ir (PBE-GGA)

Data for crystalline LiY2Ir at its relaxed geometry.

- energy of formation from the pure elements (meV per atom) = -224
- M_tot (μB/f.u.) = 0.0
- calculated total energy (eV per atom) = -6.150

Cell lengths 5.8258, 5.8258, 5.8258 Å; angles 138.25, 138.25, 60.52 degrees
Closest atoms and distances in Å follow each position.
Sites, in units of the cell vectors:
Li  0.0000  0.0000  0.0000  8 Y 2.94-3.26, 4 Ir 3.26
Y  0.2500  0.7500  0.5000  4 Ir 2.94, 4 Y 3.26, 4 Li 3.26
Y  0.5000  0.5000  0.0000  4 Li 2.94, 4 Ir 3.26, 4 Y 3.26
Ir  0.7500  0.2500  0.5000  8 Y 2.94-3.26, 4 Li 3.26